This record from Alexandria via LeMat-Bulk describes an optimized crystal structure of SmDyIrRh. The functional is PBE.

Crystal system: cubic
Total moment, μB per formula unit: 0.00
ΔE_f, eV per atom: -0.784
Mass density, g cm⁻³: 12.15
Space-group type: No. 216

Cell lengths 4.8979, 4.8979, 4.8979 Å; angles 60.00, 60.00, 60.00 degrees
Fractional coordinates of all 4 atoms:
Ir  0.0000  0.0000  0.0000
Rh  0.5000  0.5000  0.5000
Sm  0.2500  0.2500  0.2500
Dy  0.7500  0.7500  0.7500